The following is a DFT calculation (GGA-PBE) of a relaxed Ca2C crystal.

The structure in POSCAR format:
```
Ca2C
1.0
6.012 0.000 0.000
0.000 6.012 0.000
0.000 0.000 4.002
Ca C
4 2
direct
0.193 0.193 0.000
0.307 0.693 0.500
0.693 0.307 0.500
0.807 0.807 0.000
0.000 0.000 0.500
0.500 0.500 0.000
```

energy of formation from the pure elements	300	meV per atom
Fermi-level density of states	0.27	states/eV per atom
calculated density	2.1	Mg/m³
energy above the most stable polymorph in this dataset	266	meV/atom
DFT total energy	-4.109	eV per atom
magnetic moment	0.000	μB per cell

=====

The following is a DFT calculation (GGA-PBE) of a relaxed Sm5Tl6 crystal.

The structure in POSCAR format:
```
Sm5Tl6
1.0
3.190 -6.764 0.000
3.190 6.764 0.000
-2.749 0.000 7.728
Sm Tl
5 6
direct
0.000 0.000 0.000
0.286 0.714 0.000
0.348 0.652 0.500
0.652 0.348 0.500
0.714 0.286 0.000
0.085 0.816 0.305
0.184 0.915 0.695
0.477 0.477 0.800
0.523 0.523 0.200
0.816 0.085 0.305
0.915 0.184 0.695
```

energy of formation from the pure elements	-216	meV per atom
Fermi-level density of states	1.00	states/eV per atom
calculated density	9.8	Mg/m³
energy above the most stable polymorph in this dataset	74	meV/atom
DFT total energy	-3.651	eV per atom
magnetic moment	0.000	μB per cell

=====

The following is a DFT calculation (GGA-PBE) of a relaxed TiCu2MoAu crystal.

The structure in POSCAR format:
```
TiCu2MoAu
1.0
4.594 0.000 0.000
0.000 4.594 0.000
0.000 0.000 4.951
Ti Cu Mo Au
1 2 1 1
direct
0.000 0.000 0.000
0.000 0.500 0.500
0.500 0.000 0.500
0.500 0.500 0.000
0.500 0.500 0.500
```

energy of formation from the pure elements	1350	meV per atom
Fermi-level density of states	1.24	states/eV per atom
calculated density	7.4	Mg/m³
DFT total energy	-4.690	eV per atom
magnetic moment	0.000	μB per cell

=====

The following is a DFT calculation (GGA-PBE) of a relaxed TbCu5Ag crystal.

The structure in POSCAR format:
```
TbCu5Ag
1.0
8.175 0.000 0.000
0.000 5.045 0.000
0.000 0.000 10.368
Tb Cu Ag
4 20 4
direct
0.244 0.250 0.065
0.256 0.750 0.565
0.744 0.250 0.435
0.756 0.750 0.935
0.055 0.750 0.105
0.068 0.002 0.313
0.068 0.498 0.313
0.089 0.250 0.517
0.185 0.250 0.746
0.315 0.750 0.246
0.411 0.750 0.017
0.432 0.502 0.813
0.432 0.998 0.813
0.445 0.250 0.605
0.555 0.750 0.395
0.568 0.002 0.187
0.568 0.498 0.187
0.589 0.250 0.983
0.685 0.250 0.754
0.815 0.750 0.254
0.911 0.750 0.483
0.932 0.502 0.687
0.932 0.998 0.687
0.945 0.250 0.895
0.137 0.750 0.862
0.363 0.250 0.362
0.637 0.750 0.638
0.863 0.250 0.138
```

energy of formation from the pure elements	-168	meV per atom
Fermi-level density of states	0.44	states/eV per atom
calculated density	9.1	Mg/m³
DFT total energy	-4.163	eV per atom
magnetic moment	0.000	μB per cell

=====

The following is a DFT calculation (GGA-PBE) of a relaxed DyAg4Au crystal.

The structure in POSCAR format:
```
DyAg4Au
1.0
0.000 3.898 3.898
3.898 0.000 3.898
3.898 3.898 0.000
Dy Ag Au
1 4 1
direct
0.000 0.000 0.000
0.375 0.375 0.375
0.375 0.375 0.874
0.375 0.874 0.375
0.874 0.375 0.375
0.750 0.750 0.750
```

energy of formation from the pure elements	-184	meV per atom
Fermi-level density of states	1.35	states/eV per atom
calculated density	11.1	Mg/m³
DFT total energy	-3.398	eV per atom
magnetic moment	0.000	μB per cell

=====

The following is a DFT calculation (GGA-PBE) of a relaxed LaHgS2Cl crystal.

The structure in POSCAR format:
```
LaHgS2Cl
1.0
5.072 0.000 0.000
0.000 5.072 0.000
0.000 0.000 5.101
La Hg S Cl
1 1 2 1
direct
0.000 0.000 0.000
0.500 0.500 0.500
0.000 0.500 0.500
0.500 0.000 0.500
0.500 0.500 0.000
```

Fermi-level density of states	0.84	states/eV per atom
calculated density	5.6	Mg/m³
energy above the most stable polymorph in this dataset	92	meV/atom
DFT total energy	-3.726	eV per atom
magnetic moment	0.211	μB per cell

=====

> The highest calculated density belongs to which entry?

DyAg4Au

=====

What did the fifth record say?
The following is a DFT calculation (GGA-PBE) of a relaxed DyAg4Au crystal.

The structure in POSCAR format:
```
DyAg4Au
1.0
0.000 3.898 3.898
3.898 0.000 3.898
3.898 3.898 0.000
Dy Ag Au
1 4 1
direct
0.000 0.000 0.000
0.375 0.375 0.375
0.375 0.375 0.874
0.375 0.874 0.375
0.874 0.375 0.375
0.750 0.750 0.750
```

energy of formation from the pure elements	-184	meV per atom
Fermi-level density of states	1.35	states/eV per atom
calculated density	11.1	Mg/m³
DFT total energy	-3.398	eV per atom
magnetic moment	0.000	μB per cell

=====

> Among the records above, which one has the lowest calculated density?

Ca2C